1.
Below is Ho2MgCu after structural relaxation, with properties calculated at the GGA-PBE level.

Structure (POSCAR):
```
Ho2MgCu
1.0
3.4720 0.0000 0.0000
0.0000 3.4720 0.0000
0.0000 0.0000 7.9718
Ho Mg Cu
2 1 1
Cartesian
0.0000 0.0000 1.6769 Ho
0.0000 0.0000 6.2950 Ho
1.7360 1.7360 3.9859 Mg
1.7360 1.7360 0.0000 Cu
```

Energy relative to the elements (eV/atom): -0.152
ΔE to the lowest computed polymorph (meV per atom): 0

=====

2.
Below is Th2Al5Ga3 after structural relaxation, with properties calculated at the GGA-PBE level.

Structure (POSCAR):
```
Th2Al5Ga3
1.0
-5.5478 6.0233 3.0096
5.5478 -6.0233 3.0096
5.5478 6.0233 -3.0096
Th Al Ga
4 10 6
Cartesian
2.7245 1.5406 0.0000 Th
2.7245 -1.5406 3.0096 Th
2.8233 7.5639 0.0000 Th
2.8233 4.4828 3.0096 Th
5.5478 -2.8583 1.5048 Al
9.6540 1.5591 0.0000 Al
5.5478 0.0000 1.5048 Al
4.1062 4.4642 0.0000 Al
5.5478 2.8583 1.5048 Al
0.0000 3.1651 1.5048 Al
1.4417 1.5591 3.0096 Al
0.0000 6.0233 1.5048 Al
-4.1062 4.4642 3.0096 Al
0.0000 8.8816 1.5048 Al
7.1541 1.4281 0.0000 Ga
0.0000 0.0000 1.5048 Ga
1.6063 4.5952 0.0000 Ga
3.9415 1.4281 3.0096 Ga
0.0000 0.0000 4.5143 Ga
-1.6063 4.5952 3.0096 Ga
```

Energy relative to the elements (eV/atom): -0.330

=====

3.
Below is LiCrSCl2 after structural relaxation, with properties calculated at the GGA-PBE level.

Structure (POSCAR):
```
LiCrSCl2
1.0
4.9341 0.0000 0.0000
0.0000 4.9341 0.0000
0.0000 0.0000 4.5239
Li Cr S Cl
1 1 1 2
Cartesian
0.0000 0.0000 0.0000 Li
2.4671 2.4671 2.2620 Cr
2.4671 2.4671 0.0000 S
0.0000 2.4671 2.2620 Cl
2.4671 0.0000 2.2620 Cl
```

ΔE to the lowest computed polymorph (meV per atom): 0

=====

4.
Below is Pm4TlBiH after structural relaxation, with properties calculated at the GGA-PBE level.

Structure (POSCAR):
```
Pm4TlBiH
1.0
3.2920 -8.8050 0.0000
3.2920 8.8050 0.0000
0.0000 0.0000 6.6226
Pm Tl Bi H
8 2 2 2
Cartesian
1.6460 4.4025 0.0000 Pm
1.6460 4.4025 3.3113 Pm
3.2920 7.5861 4.9670 Pm
3.2920 1.3056 4.9670 Pm
1.6460 -4.4025 0.0000 Pm
1.6460 -4.4025 3.3113 Pm
3.2920 -1.3056 1.6557 Pm
3.2920 -7.5861 1.6557 Pm
3.2920 6.8334 1.6557 Tl
3.2920 -6.8334 4.9670 Tl
3.2920 1.9577 1.6557 Bi
3.2920 -1.9577 4.9670 Bi
3.2920 3.6751 4.9670 H
3.2920 -3.6751 1.6557 H
```

Total DFT energy (no corrections) (eV per formula unit): -32.28

=====

5.
Below is Pr3In2Ag4 after structural relaxation, with properties calculated at the GGA-PBE level.

Structure (POSCAR):
```
Pr3In2Ag4
1.0
5.6102 -2.4529 0.0000
5.6102 2.4529 0.0000
-4.3738 0.0000 8.2137
Pr In Ag
3 2 4
Cartesian
0.0000 0.0000 0.0000 Pr
2.4161 0.0000 2.6501 Pr
4.4305 0.0000 5.5636 Pr
1.0976 0.0000 5.8005 In
5.7491 0.0000 2.4131 In
-0.9597 0.0000 3.3512 Ag
-0.9730 0.0000 7.7881 Ag
7.8196 0.0000 0.4255 Ag
7.8064 0.0000 4.8624 Ag
```

Energy relative to the elements (eV/atom): -0.347

=====

6.
Below is Zn2Pd7Au2 after structural relaxation, with properties calculated at the GGA-PBE level.

Structure (POSCAR):
```
Zn2Pd7Au2
1.0
4.7773 -3.9257 0.0000
4.7773 3.9257 0.0000
-1.2280 0.0000 4.8842
Zn Pd Au
2 7 2
Cartesian
1.9715 0.0000 1.3703 Zn
6.3552 0.0000 3.5139 Zn
-0.6140 0.0000 2.4421 Pd
1.3136 1.4030 3.6437 Pd
1.3136 -1.4030 3.6437 Pd
3.7010 0.0000 3.6059 Pd
4.6256 0.0000 1.2784 Pd
7.0130 1.4030 1.2406 Pd
7.0130 -1.4030 1.2406 Pd
4.7773 2.4951 0.0000 Au
4.7773 -2.4951 0.0000 Au
```

Energy relative to the elements (eV/atom): -0.058
ΔE to the lowest computed polymorph (meV per atom): 119

=====

7.
Below is La12NdCo6 after structural relaxation, with properties calculated at the GGA-PBE level.

Structure (POSCAR):
```
La12NdCo6
1.0
-5.1117 5.1117 5.1117
5.1117 -5.1117 5.1117
5.1117 5.1117 -5.1117
La Nd Co
12 1 6
Cartesian
5.1117 -1.8912 3.1164 La
3.2205 1.9953 0.0000 La
7.0030 1.9953 0.0000 La
3.1164 5.1117 -1.8912 La
1.9953 0.0000 3.2205 La
5.1117 1.8912 3.1164 La
0.0000 3.2205 1.9953 La
3.1164 5.1117 1.8912 La
1.9953 0.0000 7.0030 La
-1.8912 3.1164 5.1117 La
1.8912 3.1164 5.1117 La
0.0000 7.0030 1.9953 La
0.0000 0.0000 0.0000 Nd
5.1117 0.0000 1.1976 Co
5.1117 3.9142 0.0000 Co
1.1976 5.1117 0.0000 Co
3.9142 0.0000 5.1117 Co
0.0000 1.1976 5.1117 Co
0.0000 5.1117 3.9142 Co
```

Energy relative to the elements (eV/atom): -0.092

=====

8.
Below is KSb2AuSe4 after structural relaxation, with properties calculated at the GGA-PBE level.

Structure (POSCAR):
```
KSb2AuSe4
1.0
2.1809 -6.7217 0.0000
2.1809 6.7217 0.0000
0.0000 0.0000 15.7543
K Sb Au Se
2 4 2 8
Cartesian
2.1809 5.0154 11.8157 K
2.1809 -5.0154 3.9386 K
2.1809 1.7964 8.7482 Sb
2.1809 1.7964 14.8832 Sb
2.1809 -1.7964 0.8711 Sb
2.1809 -1.7964 7.0061 Sb
2.1809 4.7883 3.9386 Au
2.1809 -4.7883 11.8157 Au
0.0000 0.0000 0.0000 Se
0.0000 0.0000 7.8771 Se
2.1809 3.0996 1.5558 Se
2.1809 3.0996 6.3214 Se
2.1809 0.8405 11.8157 Se
2.1809 -0.8405 3.9386 Se
2.1809 -3.0996 9.4329 Se
2.1809 -3.0996 14.1985 Se
```

Total DFT energy (no corrections) (eV per formula unit): -29.52

=====

9.
Below is RbGaSi2 after structural relaxation, with properties calculated at the GGA-PBE level.

Structure (POSCAR):
```
RbGaSi2
1.0
-2.5813 2.5813 8.5873
2.5813 -2.5813 8.5873
2.5813 2.5813 -8.5873
Rb Ga Si
2 2 4
Cartesian
2.5813 1.2906 2.1468 Rb
0.0000 1.2906 6.4405 Rb
2.5813 -1.2906 6.4405 Ga
0.0000 3.8719 2.1468 Ga
0.0000 0.0000 0.0000 Si
1.2906 1.2906 -4.2937 Si
1.2906 -1.2906 4.2937 Si
0.0000 2.5813 0.0000 Si
```

Total DFT energy (no corrections) (eV per formula unit): -13.78

=====

10.
Below is SrReO2 after structural relaxation, with properties calculated at the GGA-PBE level.

Structure (POSCAR):
```
SrReO2
1.0
0.0000 2.9502 2.9502
2.9502 0.0000 2.9502
2.9502 2.9502 0.0000
Sr Re O
1 1 2
Cartesian
0.0000 0.0000 0.0000 Sr
2.9502 2.9502 2.9502 Re
1.4751 1.4751 1.4751 O
4.4253 4.4253 4.4253 O
```

ΔE to the lowest computed polymorph (meV per atom): 1031

=====

11.
Below is PmDy2ErSb4 after structural relaxation, with properties calculated at the GGA-PBE level.

Structure (POSCAR):
```
PmDy2ErSb4
1.0
7.6270 0.0000 0.0000
0.0000 4.4074 0.0000
-2.5442 0.0000 7.1922
Pm Dy Er Sb
1 2 1 4
Cartesian
0.0000 0.0000 0.0000 Pm
-1.2721 2.2037 3.5961 Dy
2.5414 0.0000 3.5961 Dy
3.8135 2.2037 0.0000 Er
0.0300 0.0000 5.3875 Sb
1.3025 2.2037 1.8263 Sb
3.7803 2.2037 5.3658 Sb
5.0528 0.0000 1.8047 Sb
```

Total DFT energy (no corrections) (eV per formula unit): -44.06

=====

12.
Below is KZnFe after structural relaxation, with properties calculated at the GGA-PBE level.

Structure (POSCAR):
```
KZnFe
1.0
0.0000 3.4624 3.4624
3.4624 0.0000 3.4624
3.4624 3.4624 0.0000
K Zn Fe
1 1 1
Cartesian
0.0000 0.0000 0.0000 K
5.1936 5.1936 5.1936 Zn
3.4624 3.4624 3.4624 Fe
```

Energy relative to the elements (eV/atom): 1.058
ΔE to the lowest computed polymorph (meV per atom): 517

=====

> Number 3 is which compound?

LiCrSCl2